! Te3Mo | Alexandria | GGA-PBE | relaxed; values from VASP
! E_form (uncorrected), eV per formula unit: 2.18
! Volume, Å³/atom: 28.37
! Symmetry: Im-3m
&SYSTEM
  ibrav = 0, nat = 4, ntyp = 2
/
ATOMIC_SPECIES
Te 127.60 Te.upf
Mo 95.94 Mo.upf
ATOMIC_POSITIONS crystal
Te 0.000 0.500 0.500
Te 0.500 0.000 0.500
Te 0.500 0.500 0.000
Mo 0.000 0.000 0.000
CELL_PARAMETERS angstrom
-3.050 3.050 3.050
3.050 -3.050 3.050
3.050 3.050 -3.050



! LaSb2Pd4Pt | Alexandria | GGA-PBE | relaxed; values from VASP
! E_form (uncorrected), eV per formula unit: -4.07
! Volume, Å³/atom: 19.92
! Symmetry: R-3m
&SYSTEM
  ibrav = 0, nat = 8, ntyp = 4
/
ATOMIC_SPECIES
La 138.91 La.upf
Sb 121.76 Sb.upf
Pd 106.42 Pd.upf
Pt 195.08 Pt.upf
ATOMIC_POSITIONS crystal
La 0.000 0.000 0.000
Sb 0.239 0.239 0.239
Sb 0.761 0.761 0.761
Pd 0.131 0.131 0.131
Pd 0.398 0.398 0.398
Pd 0.602 0.602 0.602
Pd 0.869 0.869 0.869
Pt 0.500 0.500 0.500
CELL_PARAMETERS angstrom
2.273 1.312 8.904
-2.273 1.312 8.904
0.000 -2.625 8.904



! Tb4Pm5Pr3 | Alexandria | GGA-PBE | relaxed; values from VASP
! Volume, Å³/atom: 34.64
! Symmetry: C2/m
! Energy relative to the lowest polymorph listed for this composition, eV/atom: 0.200
! Formation energy from the elements, eV per atom: 0.21
&SYSTEM
  ibrav = 0, nat = 12, ntyp = 3
/
ATOMIC_SPECIES
Tb 158.93 Tb.upf
Pm 145.00 Pm.upf
Pr 140.91 Pr.upf
ATOMIC_POSITIONS crystal
Tb 0.082 0.082 0.442
Tb 0.211 0.211 0.876
Tb 0.789 0.789 0.124
Tb 0.918 0.918 0.558
Pm 0.000 0.000 0.000
Pm 0.327 0.327 0.612
Pm 0.425 0.425 0.302
Pm 0.575 0.575 0.698
Pm 0.673 0.673 0.388
Pr 0.208 0.208 0.227
Pr 0.500 0.500 0.000
Pr 0.792 0.792 0.773
CELL_PARAMETERS angstrom
8.151 -3.021 0.000
8.151 3.021 0.000
-4.121 0.000 8.440



! YAlC2 | Alexandria | GGA-PBE | relaxed; values from VASP
! Volume, Å³/atom: 14.97
! Symmetry: I-42d
! Formation energy from the elements, eV per atom: 0.46
&SYSTEM
  ibrav = 0, nat = 8, ntyp = 3
/
ATOMIC_SPECIES
Y 88.91 Y.upf
Al 26.98 Al.upf
C 12.01 C.upf
ATOMIC_POSITIONS crystal
Y 0.000 0.000 0.000
Y 0.750 0.250 0.500
Al 0.250 0.750 0.500
Al 0.500 0.500 0.000
C 0.250 0.625 0.125
C 0.375 0.500 0.625
C 0.500 0.125 0.875
C 0.875 0.750 0.375
CELL_PARAMETERS angstrom
-2.236 2.236 5.986
2.236 -2.236 5.986
2.236 2.236 -5.986



! K3Rb2I5 | Alexandria | GGA-PBE | relaxed; values from VASP
! E_form (uncorrected), eV per formula unit: -14.54
! Volume, Å³/atom: 49.62
! Symmetry: C2/m
&SYSTEM
  ibrav = 0, nat = 10, ntyp = 3
/
ATOMIC_SPECIES
K 39.10 K.upf
Rb 85.47 Rb.upf
I 126.90 I.upf
ATOMIC_POSITIONS crystal
K 0.000 0.000 0.000
K 0.386 0.386 0.628
K 0.614 0.614 0.372
Rb 0.170 0.170 0.771
Rb 0.830 0.830 0.229
I 0.207 0.207 0.303
I 0.402 0.402 0.085
I 0.500 0.500 0.500
I 0.598 0.598 0.915
I 0.793 0.793 0.697
CELL_PARAMETERS angstrom
9.195 -2.525 0.000
9.195 2.525 0.000
-7.730 0.000 10.688



! YFe2Pt | Alexandria | GGA-PBE | relaxed; values from VASP
! Volume, Å³/atom: 17.15
! Symmetry: Pmmm
! Formation energy from the elements, eV per atom: 0.01
&SYSTEM
  ibrav = 0, nat = 4, ntyp = 3
/
ATOMIC_SPECIES
Y 88.91 Y.upf
Fe 55.84 Fe.upf
Pt 195.08 Pt.upf
ATOMIC_POSITIONS crystal
Y 0.000 0.000 0.000
Fe 0.500 0.500 0.307
Fe 0.500 0.500 0.693
Pt 0.000 0.000 0.500
CELL_PARAMETERS angstrom
2.964 0.000 0.000
0.000 3.763 0.000
0.000 0.000 6.151



! HgRuBr2 | Alexandria | GGA-PBE | relaxed; values from VASP
! E_form (uncorrected), eV per formula unit: 0.51
! Volume, Å³/atom: 28.57
! Symmetry: P2/m
! Energy relative to the lowest polymorph listed for this composition, eV/atom: 0.158
&SYSTEM
  ibrav = 0, nat = 4, ntyp = 3
/
ATOMIC_SPECIES
Hg 200.59 Hg.upf
Ru 101.07 Ru.upf
Br 79.90 Br.upf
ATOMIC_POSITIONS crystal
Hg 0.000 0.000 0.000
Ru 0.500 0.000 0.500
Br 0.495 0.500 0.334
Br 0.505 0.500 0.666
CELL_PARAMETERS angstrom
3.147 0.000 0.000
0.000 3.663 0.000
-0.092 0.000 9.915



! PrDyTlRh | Alexandria | GGA-PBE | relaxed; values from VASP
! Volume, Å³/atom: 25.16
! Symmetry: F-43m
! Energy relative to the lowest polymorph listed for this composition, eV/atom: 0.135
! Formation energy from the elements, eV per atom: -0.41
&SYSTEM
  ibrav = 0, nat = 4, ntyp = 4
/
ATOMIC_SPECIES
Pr 140.91 Pr.upf
Dy 162.50 Dy.upf
Tl 204.38 Tl.upf
Rh 102.91 Rh.upf
ATOMIC_POSITIONS crystal
Pr 0.000 0.000 0.000
Dy 0.500 0.500 0.500
Tl 0.750 0.750 0.750
Rh 0.250 0.250 0.250
CELL_PARAMETERS angstrom
0.000 3.692 3.692
3.692 0.000 3.692
3.692 3.692 0.000



! NpAlHg | Alexandria | GGA-PBE | relaxed; values from VASP
! Volume, Å³/atom: 21.42
! Symmetry: P-6m2
! Formation energy from the elements, eV per atom: 0.05
&SYSTEM
  ibrav = 0, nat = 3, ntyp = 3
/
ATOMIC_SPECIES
Np 237.00 Np.upf
Al 26.98 Al.upf
Hg 200.59 Hg.upf
ATOMIC_POSITIONS crystal
Np 0.000 0.000 0.000
Al 0.333 0.667 0.500
Hg 0.667 0.333 0.500
CELL_PARAMETERS angstrom
4.979 0.000 0.000
-2.489 4.312 0.000
0.000 0.000 2.993



! TmPbAu2 | Alexandria | GGA-PBE | relaxed; values from VASP
! Volume, Å³/atom: 23.32
! Symmetry: P4/mmm
! Formation energy from the elements, eV per atom: -0.58
&SYSTEM
  ibrav = 0, nat = 4, ntyp = 3
/
ATOMIC_SPECIES
Tm 168.93 Tm.upf
Pb 207.20 Pb.upf
Au 196.97 Au.upf
ATOMIC_POSITIONS crystal
Tm 0.000 0.000 0.000
Pb 0.000 0.000 0.500
Au 0.500 0.500 0.219
Au 0.500 0.500 0.781
CELL_PARAMETERS angstrom
3.626 0.000 0.000
0.000 3.626 0.000
0.000 0.000 7.095



! CoMo2Au | Alexandria | GGA-PBE | relaxed; values from VASP
! Volume, Å³/atom: 15.15
! Symmetry: R-3m
! Energy relative to the lowest polymorph listed for this composition, eV/atom: 0.173
! Formation energy from the elements, eV per atom: 0.33
&SYSTEM
  ibrav = 0, nat = 4, ntyp = 3
/
ATOMIC_SPECIES
Co 58.93 Co.upf
Mo 95.94 Mo.upf
Au 196.97 Au.upf
ATOMIC_POSITIONS crystal
Co 0.000 0.000 0.000
Mo 0.257 0.257 0.257
Mo 0.743 0.743 0.743
Au 0.500 0.500 0.500
CELL_PARAMETERS angstrom
1.381 0.797 9.175
-1.381 0.797 9.175
0.000 -1.595 9.175



! Sc10Ga3Te3 | Alexandria | GGA-PBE | relaxed; values from VASP
! E_form (uncorrected), eV per formula unit: -11.74
! Volume, Å³/atom: 21.81
! Symmetry: P-62m
&SYSTEM
  ibrav = 0, nat = 16, ntyp = 3
/
ATOMIC_SPECIES
Sc 44.96 Sc.upf
Ga 69.72 Ga.upf
Te 127.60 Te.upf
ATOMIC_POSITIONS crystal
Sc 0.000 0.240 0.000
Sc 0.000 0.761 0.500
Sc 0.239 0.239 0.500
Sc 0.240 0.000 0.000
Sc 0.333 0.667 0.260
Sc 0.333 0.667 0.740
Sc 0.667 0.333 0.260
Sc 0.667 0.333 0.740
Sc 0.760 0.760 0.000
Sc 0.761 0.000 0.500
Ga 0.000 0.389 0.500
Ga 0.389 0.000 0.500
Ga 0.611 0.611 0.500
Te 0.000 0.606 0.000
Te 0.394 0.394 0.000
Te 0.606 0.000 0.000
CELL_PARAMETERS angstrom
8.256 0.000 0.000
-4.128 7.150 0.000
0.000 0.000 5.911



Result set for raw total energy: -18.07 -44.05 -54.04 -53.60 -27.52 -29.40 -12.41 -20.76 -16.85 -17.05 -30.74 -93.56 eV for the cell shown, one per record in the order listed.